DFT (GGA-PBE) results for TcSn2Ir after structural relaxation.

Computed properties:
The total energy comes out at -6.3183 eV/atom.

Cell: 4.703 4.703 4.703 Å, 60.00 60.00 60.00°
Site moments in Bohr magnetons follow the coordinates.
Sites, in units of the cell vectors:
Ir  0.250  0.250  0.250  0.29
Sn  0.000  0.000  0.000  0.00
Sn  0.750  0.750  0.750  -0.03
Tc  0.500  0.500  0.500  1.07

DFT (GGA-PBE) results for YErHg after structural relaxation.

Computed properties:
The formation energy comes out at -0.13 eV per atom. The energy above the most stable polymorph in this dataset is 252 meV/atom.

Cell: 5.073 5.073 5.073 Å, 60.00 60.00 60.00°
Sites, in units of the cell vectors:
Er  0.250  0.250  0.250
Hg  0.000  0.000  0.000
Y  0.750  0.750  0.750

DFT (GGA-PBE) results for Zr3Ag after structural relaxation.

Computed properties:
The formation energy comes out at 0.04 eV per atom.

Cell: 6.561 6.183 5.018 Å, 90.00 90.00 122.09°
Sites, in units of the cell vectors:
Ag  0.008  0.516  0.000
Ag  0.826  0.151  0.500
Zr  0.016  0.028  0.000
Zr  0.512  0.028  0.000
Zr  0.507  0.514  0.000
Zr  0.326  0.153  0.500
Zr  0.321  0.638  0.500
Zr  0.817  0.638  0.500